Computed, not measured: crystalline LiRe2Se at its relaxed geometry at the PBEsol level of DFT.

The structure in POSCAR format:
```
LiRe2Se
1.0
2.7465 0.0000 0.0000
0.0000 4.9043 0.0000
-0.0902 0.0000 4.5607
Li Re Se
1 2 1
direct
0.0000 0.0000 0.0000 Li
0.3052 0.5000 0.2422 Re
0.6948 0.5000 0.7578 Re
0.5000 0.0000 0.5000 Se
```

Calculated values
energy relative to the elements, uncorrected: 448 meV per atom
D(E_F): 2.37 states/eV/f.u.

Computed, not measured: crystalline Mg5Ru at its relaxed geometry at the PBEsol level of DFT.

The structure in POSCAR format:
```
Mg5Ru
1.0
2.1487 -6.0509 0.0000
2.1487 6.0509 0.0000
0.0000 0.0000 4.3262
Mg Ru
5 1
direct
0.0000 0.0000 0.0000 Mg
0.1525 0.8475 0.5000 Mg
0.3474 0.6526 0.0000 Mg
0.6526 0.3474 0.0000 Mg
0.8475 0.1525 0.5000 Mg
0.5000 0.5000 0.5000 Ru
```

Calculated values
D(E_F): 2.97 states/eV/f.u.
energy of formation: 0.0535 eV per atom

Computed, not measured: crystalline RbNaBePt2 at its relaxed geometry at the PBEsol level of DFT.

The structure in POSCAR format:
```
RbNaBePt2
1.0
4.8761 0.0000 0.0000
0.0000 4.8761 0.0000
0.0000 0.0000 4.9044
Rb Na Be Pt
1 1 1 2
direct
0.0000 0.0000 0.0000 Rb
0.0000 0.0000 0.5000 Na
0.5000 0.5000 0.0000 Be
0.0000 0.5000 0.5000 Pt
0.5000 0.0000 0.5000 Pt
```

Calculated values
D(E_F): 1.91 states/eV/f.u.
energy of formation: 1.4758 eV per atom

Computed, not measured: crystalline SrAlAg2 at its relaxed geometry at the PBEsol level of DFT.

The structure in POSCAR format:
```
SrAlAg2
1.0
3.2451 0.0000 0.0000
0.0000 4.2310 0.0000
-1.5221 0.0000 6.4700
Sr Al Ag
1 1 2
direct
0.0000 0.0000 0.0000 Sr
0.5000 0.0000 0.5000 Al
0.3162 0.5000 0.6912 Ag
0.6838 0.5000 0.3088 Ag
```

Calculated values
D(E_F): 1.79 states/eV/f.u.
energy of formation: -0.0440 eV per atom